[1]
This record from the Alexandria database describes a relaxed Li6MgNi7O16 crystal. The functional is PBEsol.

Geometry as CIF:
```
data_Li6MgNi7O16
_space_group_name_H-M_alt 'P -1'
_space_group_IT_number 2
_space_group_name_Hall '-P 1'
_cell_length_a 4.8879
_cell_length_b 5.0057
_cell_length_c 11.0874
_cell_angle_alpha 80.47
_cell_angle_beta 85.63
_cell_angle_gamma 79.98
loop_
_atom_site_label
_atom_site_fract_x
_atom_site_fract_y
_atom_site_fract_z
Li1 0.2348 0.1860 0.3048
Li2 0.2550 0.4382 0.0623
Li3 0.2583 0.9260 0.5747
Mg1 0.0000 0.5000 0.5000
Ni1 0.0000 0.0000 0.0000
Ni2 0.0064 0.2517 0.7501
Ni3 0.4961 0.6214 0.3745
Ni4 0.4972 0.1299 0.8744
O1 0.1277 0.3005 0.9071
O2 0.1341 0.8311 0.3956
O3 0.1401 0.0479 0.1535
O4 0.1413 0.5586 0.6582
O5 0.3482 0.5500 0.2308
O6 0.3755 0.8002 0.9831
O7 0.3781 0.0743 0.7238
O8 0.3931 0.3020 0.4739
```

Computed properties:
Fermi-level density of states (states/eV/f.u.): 11.6
Spin magnetization (μB/atom): 0.136
Crystal system: triclinic
Calculated volume (Å³ per cell): 263
ΔE_f (raw) (meV per atom): -1325

***

[2]
This record from the Alexandria database describes a relaxed Li7MgNi7O16 crystal. The functional is PBEsol.

Geometry as CIF:
```
data_Li7MgNi7O16
_space_group_name_H-M_alt 'C 1 2 1'
_space_group_IT_number 5
_space_group_name_Hall 'C 2y'
_cell_length_a 9.8287
_cell_length_b 11.4464
_cell_length_c 4.8910
_cell_angle_alpha 90.00
_cell_angle_beta 109.27
_cell_angle_gamma 90.00
loop_
_atom_site_label
_atom_site_fract_x
_atom_site_fract_y
_atom_site_fract_z
Li1 0.0000 0.0000 0.0000
Li2 0.0000 0.2410 0.0000
Li3 0.0000 0.4993 0.0000
Li4 0.2364 0.6157 0.9654
Li5 0.2465 0.3705 0.0001
Mg1 0.0000 0.7359 0.0000
Ni1 0.0000 0.1208 0.5000
Ni2 0.0000 0.3709 0.5000
Ni3 0.0000 0.8713 0.5000
Ni4 0.2456 0.4963 0.5000
Ni5 0.2483 0.7435 0.5034
O1 0.1177 0.2450 0.7101
O2 0.1202 0.9964 0.7077
O3 0.1215 0.8698 0.2709
O4 0.1259 0.7613 0.7343
O5 0.1277 0.4806 0.7269
O6 0.1296 0.3672 0.2805
O7 0.1340 0.1183 0.2626
O8 0.1437 0.6235 0.2591
```

Computed properties:
Fermi-level density of states (states/eV/f.u.): 11.9
Spin magnetization (μB/atom): 0.164
Crystal system: monoclinic
Calculated volume (Å³ per cell): 519
ΔE_f (raw) (meV per atom): -1339